(1)
Entry from Alexandria: a geometry-optimized Fe2AsW structure (PBE).

Unit cell a=2.7984 b=2.7984 c=23.7618 alpha=90.00 beta=90.00 gamma=120.00
Last column: nearest neighbours and their distance in Å.
Space group R-3m (No. 166, hexagonal axes)
One atom of each set of equivalent atoms:
1 Fe 0.0000 0.0000 0.2462 [6 per cell]  3 As 2.49, 3 W 2.63
2 As 0.0000 0.0000 0.5000 [3 per cell]  6 Fe 2.49
3 W 0.0000 0.0000 0.0000 [3 per cell]  6 Fe 2.63, 6 W 2.80

Output
Raw total energy: -33.539 eV/f.u.
ΔE_f: 0.2473 eV/atom
Size of the total moment: 6.49 Bohr magnetons per cell

=====

(2)
Entry from Alexandria: a geometry-optimized Li3B4C4 structure (PBE).

Unit cell a=7.1708 b=5.4595 c=4.7104 alpha=90.00 beta=90.00 gamma=90.00
Last column: nearest neighbours and their distance in Å.
Space group Pmma (No. 51)
One atom of each set of equivalent atoms:
1 Li 0.0000 0.0000 0.0000 [2 per cell]  6 C 2.37-2.39, 6 B 2.38-2.39
2 Li 0.0000 0.2586 0.5000 [4 per cell]  6 C 2.36-2.42, 6 B 2.37-2.42, 1 Li 2.64
3 B 0.2500 0.0000 0.3318 [2 per cell]  3 C 1.56-1.60
4 B 0.2500 0.2533 0.8343 [4 per cell]  3 C 1.57-1.58
5 B 0.2500 0.5000 0.3276 [2 per cell]  3 C 1.56-1.58
6 C 0.2500 0.0000 0.6709 [2 per cell]  3 B 1.58-1.60
7 C 0.2500 0.2490 0.1681 [4 per cell]  3 B 1.56-1.57
8 C 0.2500 0.5000 0.6640 [2 per cell]  3 B 1.57-1.58

Output
Raw total energy: -71.919 eV/f.u.
ΔE_f: -0.2339 eV/atom
Distance to the lowest polymorph of the same formula: 0.007 eV per atom
Size of the total moment: 0.00 Bohr magnetons per cell

=====

(3)
Entry from Alexandria: a geometry-optimized KBaIn2S structure (PBE).

Unit cell a=6.6382 b=6.6382 c=5.8611 alpha=90.00 beta=90.00 gamma=90.00
Last column: nearest neighbours and their distance in Å.
Space group P4/mmm (No. 123)
One atom of each set of equivalent atoms:
1 K 0.0000 0.0000 0.0000 [1 per cell]  8 In 4.43, 4 S 4.69
2 Ba 0.5000 0.5000 0.5000 [1 per cell]  2 S 2.93
3 In 0.0000 0.5000 0.5000 [2 per cell]  2 Ba 3.32
4 S 0.5000 0.5000 0.0000 [1 per cell]  2 Ba 2.93

Output
Raw total energy: -12.552 eV/f.u.
Energy relative to the elements, uncorrected: 0.0144 eV/atom
Size of the total moment: 0.00 Bohr magnetons per cell

=====

(4)
Entry from Alexandria: a geometry-optimized CsKNa2Zn structure (PBE).

Unit cell a=6.2130 b=6.2130 c=6.8938 alpha=90.00 beta=90.00 gamma=90.00
Last column: nearest neighbours and their distance in Å.
Space group P4/mmm (No. 123)
One atom of each set of equivalent atoms:
1 Cs 0.0000 0.0000 0.0000 [1 per cell]  2 Zn 3.45
2 K 0.5000 0.5000 0.0000 [1 per cell]  4 Cs 4.39, 8 Na 4.64
3 Na 0.0000 0.5000 0.5000 [2 per cell]  2 Zn 3.11
4 Zn 0.0000 0.0000 0.5000 [1 per cell]  4 Na 3.11, 2 Cs 3.45

Output
Raw total energy: -5.181 eV/f.u.
ΔE_f: 0.1364 eV/atom
Distance to the lowest polymorph of the same formula: 0.026 eV per atom
Size of the total moment: 0.00 Bohr magnetons per cell